(1)
First-principles (SCAN) data for a PBEsol-optimized structure of CaZnSe2, as listed in the Alexandria database.

Calculated values
SG: Cm
Raw formation energy in meV per atom: -1325
Total magnetization in Bohr magnetons per cell: 0.0

```
CaZnSe2
1.0
6.341 -1.913 0.000
6.341 1.913 0.000
-0.240 0.000 4.094
Ca Zn Se
1 1 2
Cartesian
0.000 0.000 0.000
9.152 0.000 3.088
3.970 0.000 0.101
7.032 0.000 2.093
```

=====

(2)
First-principles (SCAN) data for a PBEsol-optimized structure of AlTcTe2, as listed in the Alexandria database.

Calculated values
SG: R3m
Raw formation energy in meV per atom: -53
Total magnetization in Bohr magnetons per cell: 0.0

```
AlTcTe2
1.0
1.616 0.933 9.656
-1.616 0.933 9.656
0.000 -1.866 9.656
Al Tc Te
1 1 2
Cartesian
0.000 0.000 0.000
0.000 0.000 21.176
0.000 0.000 7.348
0.000 0.000 13.359
```

=====

(3)
First-principles (SCAN) data for a PBEsol-optimized structure of PrU2S5, as listed in the Alexandria database.

Calculated values
SG: Pna2_1
Raw formation energy in meV per atom: -1718
Total magnetization in Bohr magnetons per cell: 20.0

```
PrU2S5
1.0
11.490 0.000 0.000
0.000 7.286 0.000
0.000 0.000 7.869
Pr U S
4 8 20
Cartesian
2.039 0.219 0.000
3.706 3.863 3.935
7.784 3.424 0.000
9.451 7.067 3.935
0.100 4.200 5.910
2.054 0.182 3.964
3.691 3.825 0.029
5.645 0.556 1.975
5.845 6.730 5.910
7.799 3.461 3.964
9.436 7.104 0.029
11.390 3.087 1.975
11.489 0.287 1.995
0.001 7.000 5.930
1.032 4.932 3.559
1.124 4.798 0.363
2.164 2.418 5.906
2.499 2.201 1.990
3.246 5.844 5.925
3.581 6.061 1.971
4.621 1.155 4.297
4.713 1.288 7.494
5.744 3.356 1.995
5.746 3.930 5.930
6.777 5.998 3.559
6.869 6.131 0.363
7.909 1.225 5.906
8.244 1.442 1.990
8.991 5.085 5.925
9.326 4.868 1.971
10.366 2.488 4.297
10.458 2.355 7.494
```

=====

(4)
First-principles (SCAN) data for a PBEsol-optimized structure of CrBBr2, as listed in the Alexandria database.

Calculated values
SG: R-3m
Raw formation energy in meV per atom: 825
Total magnetization in Bohr magnetons per cell: 5.0

```
CrBBr2
1.0
1.830 1.056 7.862
-1.830 1.056 7.862
0.000 -2.113 7.862
Cr B Br
1 1 2
Cartesian
0.000 0.000 0.000
0.000 0.000 11.794
0.000 0.000 2.419
0.000 0.000 21.169
```

=====

(5)
First-principles (SCAN) data for a PBEsol-optimized structure of LiFeGe2Bi, as listed in the Alexandria database.

Calculated values
DFT formation energy in meV/atom: 1231
SG: P4/mmm
Total magnetization in Bohr magnetons per cell: 3.3

```
LiFeGe2Bi
1.0
5.388 0.000 0.000
0.000 5.388 0.000
0.000 0.000 4.853
Li Fe Ge Bi
1 1 2 1
Cartesian
0.000 0.000 0.000
2.694 2.694 0.000
0.000 2.694 2.426
2.694 0.000 2.426
0.000 0.000 2.426
```

=====

(6)
First-principles (SCAN) data for a PBEsol-optimized structure of YBi3Ru4O14, as listed in the Alexandria database.

Calculated values
SG: R-3m
Raw formation energy in meV per atom: -1481
Total magnetization in Bohr magnetons per cell: 0.0

```
YBi3Ru4O14
1.0
3.600 2.079 5.916
-3.600 2.079 5.916
0.000 -4.157 5.916
Y Bi Ru O
1 3 4 14
Cartesian
0.000 0.000 0.000
-3.600 0.000 8.874
-1.800 1.039 2.958
1.800 1.039 2.958
-1.800 -1.039 5.916
-1.800 1.039 11.832
0.000 2.079 5.916
0.000 0.000 8.874
0.000 0.000 2.132
0.000 -1.693 5.432
-1.466 0.846 5.432
-1.463 -0.845 7.861
0.000 -1.689 9.887
-1.463 0.845 9.887
-1.466 -0.846 12.317
1.466 0.846 5.432
1.463 -0.845 7.861
0.000 1.689 7.861
1.463 0.845 9.887
1.466 -0.846 12.317
0.000 1.693 12.317
0.000 0.000 15.616
```